No. 1
Hf4Ta2S3N3: relaxed, PBE-GGA.

Values from the calculation:
total magnetization: 0.0 μB per cell

Unit cell a=9.927 b=5.756 c=12.226 alpha=90.00 beta=105.51 gamma=90.00
Space group C2/c (No. 15)
Symmetry-distinct sites (fractional):
Hf1 0.117 0.095 0.099 (multiplicity 8)
Hf2 0.223 0.077 0.401 (multiplicity 8)
Ta1 0.046 0.425 0.907 (multiplicity 8)
S1 0.000 0.097 0.750 (multiplicity 4)
S2 0.161 0.422 0.253 (multiplicity 8)
N1 0.089 0.234 0.500 (multiplicity 8)
N2 0.250 0.250 0.000 (multiplicity 4)

No. 2
Hf4TlSN2: relaxed, PBE-GGA.

Values from the calculation:
total magnetization: 0.0 μB per cell

Unit cell a=3.3028 b=3.3028 c=13.3000 alpha=90.00 beta=90.00 gamma=120.00
Space group P-6m2 (No. 187)
Symmetry-distinct sites (fractional):
Hf1 0.0000 0.0000 0.1351 (multiplicity 2)
Hf2 0.6667 0.3333 0.3159 (multiplicity 2)
Tl1 0.0000 0.0000 0.5000 (multiplicity 1)
S1 0.6667 0.3333 0.0000 (multiplicity 1)
N1 0.3333 0.6667 0.2292 (multiplicity 2)

No. 3
Hf4TlSN2: relaxed, PBE-GGA.

Values from the calculation:
total magnetization: 0.0 μB per cell

Unit cell a=3.3028 b=3.3028 c=13.3001 alpha=90.00 beta=90.00 gamma=120.00
Space group P-6m2 (No. 187)
Symmetry-distinct sites (fractional):
Hf1 0.0000 0.0000 0.1351 (multiplicity 2)
Hf2 0.3333 0.6667 0.3159 (multiplicity 2)
Tl1 0.0000 0.0000 0.5000 (multiplicity 1)
S1 0.3333 0.6667 0.0000 (multiplicity 1)
N1 0.6667 0.3333 0.2292 (multiplicity 2)

No. 4
Y4Hf2S3N3: relaxed, PBE-GGA.

Values from the calculation:
total magnetization: 0.1 μB per cell

Unit cell a=10.513 b=6.080 c=12.901 alpha=90.00 beta=105.76 gamma=90.00
Space group C2/c (No. 15)
Symmetry-distinct sites (fractional):
Y1 0.119 0.078 0.105 (multiplicity 8)
Y2 0.212 0.086 0.395 (multiplicity 8)
Hf1 0.055 0.414 0.907 (multiplicity 8)
S1 0.000 0.108 0.750 (multiplicity 4)
S2 0.154 0.428 0.248 (multiplicity 8)
N1 0.077 0.268 0.500 (multiplicity 8)
N2 0.250 0.250 0.000 (multiplicity 4)

| no. | energy (eV/atom) |
| --- | --- |
| 1 | -9.66 |
| 2 | -9.10 |
| 3 | -9.10 |
| 4 | -8.66 |